This record from Alexandria describes a relaxed LiTaCl3 crystal. The functional is PBE.

Lattice parameters (Å, degrees): 4.9194 4.9194 4.9194 90.00 90.00 90.00
With the nearest neighbours (Å) after each atom.
Positions (direct):
1 Li 0.5000 0.5000 0.5000  12 Cl 3.48
2 Cl 0.0000 0.5000 0.0000  2 Ta 2.46
3 Ta 0.0000 0.0000 0.0000  6 Cl 2.46
4 Cl 0.5000 0.0000 0.0000  2 Ta 2.46
5 Cl 0.0000 0.0000 0.5000  2 Ta 2.46

Computed properties:
Calculated volume   119 Å³ per cell
Total DFT energy (no corrections)   -4.4404 eV per atom
Polymorph energy (0 for the lowest one)   0 meV per atom
ρ   4.1 g/cm³